[1]
Ag3GeBr4: relaxed, GGA-PBE.

a = 6.595 Å, b = 6.595 Å, c = 6.595 Å
α = 111.78°, β = 111.78°, γ = 104.94°
Fractional positions:
Ag  0.000  0.000  0.000
Ag  0.250  0.750  0.500
Ag  0.750  0.250  0.500
Ge  0.500  0.500  0.000
Br  0.124  0.124  0.490
Br  0.367  0.876  0.000
Br  0.633  0.633  0.510
Br  0.876  0.367  0.000

Computed properties:
The final energy comes out at -2.612 eV per atom.

[2]
Ag2GeBr6: relaxed, GGA-PBE.

a = 7.238 Å, b = 6.774 Å, c = 12.740 Å
α = 90.00°, β = 121.24°, γ = 90.00°
Fractional positions:
Ag  0.181  0.016  0.214
Ag  0.181  0.484  0.714
Ag  0.819  0.516  0.286
Ag  0.819  0.984  0.786
Ge  0.500  0.000  0.000
Ge  0.500  0.500  0.500
Br  0.187  0.626  0.288
Br  0.187  0.874  0.788
Br  0.229  0.184  0.034
Br  0.229  0.316  0.534
Br  0.457  0.701  0.099
Br  0.457  0.799  0.599
Br  0.543  0.201  0.401
Br  0.543  0.299  0.901
Br  0.771  0.684  0.466
Br  0.771  0.816  0.966
Br  0.813  0.126  0.212
Br  0.813  0.374  0.712

Computed properties:
The final energy comes out at -2.618 eV per atom.

[3]
Ag2GeBr: relaxed, GGA-PBE.

a = 4.961 Å, b = 4.961 Å, c = 4.961 Å
α = 60.00°, β = 60.00°, γ = 60.00°
Fractional positions:
Ag  0.250  0.250  0.250
Ag  0.750  0.750  0.750
Ge  0.000  0.000  0.000
Br  0.500  0.500  0.500

Computed properties:
The final energy comes out at -2.535 eV per atom. The energy above the lowest structure with this stoichiometry comes out at 25.6 kJ per mole of atoms.

[4]
KAg2GeBr6: relaxed, GGA-PBE.

a = 9.875 Å, b = 9.875 Å, c = 8.389 Å
α = 108.52°, β = 108.52°, γ = 77.69°
Fractional positions:
K  0.177  0.823  0.750
K  0.823  0.177  0.250
Ag  0.304  0.340  0.773
Ag  0.340  0.304  0.273
Ag  0.660  0.696  0.727
Ag  0.696  0.660  0.227
Ge  0.175  0.825  0.250
Ge  0.825  0.175  0.750
Br  0.055  0.177  0.674
Br  0.177  0.055  0.174
Br  0.194  0.610  0.000
Br  0.218  0.451  0.515
Br  0.390  0.806  0.500
Br  0.451  0.218  0.015
Br  0.549  0.782  0.985
Br  0.610  0.194  0.500
Br  0.782  0.549  0.485
Br  0.806  0.390  0.000
Br  0.823  0.945  0.826
Br  0.945  0.823  0.326

Computed properties:
The final energy comes out at -2.788 eV per atom.

[5]
K3AgGe2Br9: relaxed, GGA-PBE.

a = 7.736 Å, b = 7.736 Å, c = 9.479 Å
α = 90.00°, β = 90.00°, γ = 120.00°
Fractional positions:
K  0.000  0.000  0.000
K  0.333  0.667  0.667
K  0.667  0.333  0.333
Ag  0.000  0.000  0.500
Ge  0.333  0.667  0.173
Ge  0.667  0.333  0.827
Br  0.000  0.500  0.000
Br  0.169  0.339  0.330
Br  0.169  0.831  0.330
Br  0.339  0.169  0.670
Br  0.500  0.000  0.000
Br  0.500  0.500  0.000
Br  0.661  0.831  0.330
Br  0.831  0.169  0.670
Br  0.831  0.661  0.670

Computed properties:
The final energy comes out at -3.001 eV per atom.

[6]
K2AgGeBr6: relaxed, GGA-PBE.

a = 7.606 Å, b = 7.606 Å, c = 7.606 Å
α = 60.77°, β = 60.77°, γ = 60.77°
Fractional positions:
K  0.000  0.000  0.000
K  0.497  0.497  0.497
Ag  0.754  0.754  0.754
Ge  0.254  0.254  0.254
Br  0.015  0.439  0.557
Br  0.068  0.952  0.495
Br  0.439  0.557  0.015
Br  0.495  0.068  0.952
Br  0.557  0.015  0.439
Br  0.952  0.495  0.068

Computed properties:
The final energy comes out at -2.934 eV per atom.

[7]
K2AgGeBr5: relaxed, GGA-PBE.

a = 9.857 Å, b = 9.857 Å, c = 14.233 Å
α = 90.00°, β = 90.00°, γ = 154.54°
Fractional positions:
K  0.096  0.904  0.500
K  0.129  0.871  0.132
K  0.871  0.129  0.632
K  0.904  0.096  0.000
Ag  0.446  0.554  0.281
Ag  0.554  0.446  0.781
Ge  0.220  0.780  0.853
Ge  0.780  0.220  0.353
Br  0.063  0.937  0.891
Br  0.271  0.729  0.490
Br  0.295  0.705  0.222
Br  0.357  0.643  0.828
Br  0.500  0.500  0.112
Br  0.500  0.500  0.612
Br  0.643  0.357  0.328
Br  0.705  0.295  0.722
Br  0.729  0.271  0.990
Br  0.937  0.063  0.391

Computed properties:
The final energy comes out at -3.045 eV per atom.

[8]
La4AgGeBr2: relaxed, GGA-PBE.

a = 7.439 Å, b = 4.429 Å, c = 7.834 Å
α = 90.00°, β = 109.49°, γ = 90.00°
Fractional positions:
La  0.236  0.000  0.235
La  0.243  0.500  0.758
La  0.757  0.500  0.242
La  0.764  0.000  0.765
Ag  0.000  0.000  0.500
Ge  0.000  0.500  0.000
Br  0.500  0.000  0.000
Br  0.500  0.500  0.500

Computed properties:
The final energy comes out at -4.777 eV per atom.

So what do the calculations give for E_form (uncorrected)? Going down the list: -12.5, -34.4, 44.7, -62.0, -93.8, -93.0, -100.5, -92.8 kJ per mole of atoms.